# PBE+U Mn2ReTeF, optimized geometry
# M_tot ... 8.44 μB/cell
# Raw total energy ... -6.131 eV per atom
data_Mn2ReTeF
_cell_length_a 4.118
_cell_length_b 4.118
_cell_length_c 5.248
_cell_angle_alpha 90.00
_cell_angle_beta 90.00
_cell_angle_gamma 90.00
_space_group_name_H-M_alt 'P 1'
_space_group_IT_number 1
loop_
_space_group_symop_operation_xyz
'x,y,z'
loop_
_atom_site_label
_atom_site_type_symbol
_atom_site_fract_x
_atom_site_fract_y
_atom_site_fract_z
Mn1 Mn 0.000 0.500 0.000
Mn2 Mn 0.500 0.000 0.000
Re1 Re 0.000 0.000 0.500
Te1 Te 0.500 0.500 0.500
F1 F 0.500 0.500 0.000